[1]
The following is a PBE calculation of a relaxed structure of HoAl3Pd3, from Alexandria.

Unit cell a=6.7259 b=6.7259 c=6.7259 alpha=90.00 beta=90.00 gamma=90.00
Fractional positions:
Ho  0.0000  0.0000  0.0000
Pd  0.5000  0.2500  0.0000
Pd  0.0000  0.5000  0.2500
Pd  0.0000  0.5000  0.7500
Al  0.5000  0.0000  0.2500
Al  0.7500  0.5000  0.0000
Al  0.5000  0.0000  0.7500
Al  0.0000  0.2500  0.5000
Al  0.2500  0.5000  0.0000
Al  0.0000  0.7500  0.5000
Pd  0.2500  0.0000  0.5000
Pd  0.7500  0.0000  0.5000
Pd  0.5000  0.7500  0.0000
Ho  0.5000  0.5000  0.5000

Summary:
- ΔH_f (0 K): -0.3205 eV/atom
- Volume: 304 Å³/cell
- Crystal system: cubic
- Space-group type: Pm-3n
- Total moment: 0.00 Bohr magnetons per cell

=====

[2]
The following is a PBE calculation of a relaxed structure of Ho2AlPd, from Alexandria.

Unit cell a=3.3400 b=3.3400 c=10.1219 alpha=80.50 beta=80.50 gamma=60.00
Fractional positions:
Ho  0.9126  0.9126  0.2623
Al  0.5000  0.5000  0.5000
Pd  0.0000  0.0000  0.0000
Ho  0.0874  0.0874  0.7377

Summary:
- ΔH_f (0 K): -0.0637 eV/atom
- Volume: 96 Å³/cell
- Crystal system: trigonal
- Space-group type: R-3m
- Total moment: 0.00 Bohr magnetons per cell

=====

[3]
The following is a PBE calculation of a relaxed structure of Ho12AlPd6, from Alexandria.

Unit cell a=8.5538 b=8.5538 c=8.5538 alpha=109.47 beta=109.47 gamma=109.47
Fractional positions:
Ho  0.1828  0.7053  0.8881
Pd  0.5000  0.1378  0.6378
Pd  0.3622  0.5000  0.8622
Ho  0.7053  0.8881  0.1828
Pd  0.6378  0.5000  0.1378
Ho  0.2947  0.4774  0.1828
Al  0.0000  0.0000  0.0000
Ho  0.8172  0.7053  0.5226
Pd  0.1378  0.6378  0.5000
Ho  0.7053  0.5226  0.8172
Ho  0.4774  0.1828  0.2947
Pd  0.8622  0.3622  0.5000
Pd  0.5000  0.8622  0.3622
Ho  0.8881  0.1828  0.7053
Ho  0.1828  0.2947  0.4774
Ho  0.5226  0.8172  0.7053
Ho  0.2947  0.1119  0.8172
Ho  0.8172  0.2947  0.1119
Ho  0.1119  0.8172  0.2947

Summary:
- ΔH_f (0 K): -0.6053 eV/atom
- Relative energy among the computed polymorphs: 0 meV/atom
- Volume: 482 Å³/cell
- Crystal system: cubic
- Space-group type: Im-3
- Total moment: 0.00 Bohr magnetons per cell

=====

[4]
The following is a PBE calculation of a relaxed structure of Ho2Al3Pd, from Alexandria.

Unit cell a=5.5562 b=5.5562 c=5.4266 alpha=89.94 beta=120.79 gamma=120.07
Fractional positions:
Ho  0.7528  0.3764  0.1292
Al  0.5000  0.0000  0.5000
Al  0.5000  0.5000  0.5000
Pd  0.0000  0.0000  0.0000
Al  0.0000  0.0000  0.5000
Ho  0.2472  0.6236  0.8708

Summary:
- ΔH_f (0 K): -0.6928 eV/atom
- Volume: 117 Å³/cell
- Crystal system: trigonal
- Space-group type: R-3m
- Total moment: 0.00 Bohr magnetons per cell

=====

Please write out number 1 again, unchanged.
The following is a PBE calculation of a relaxed structure of HoAl3Pd3, from Alexandria.

Unit cell a=6.7259 b=6.7259 c=6.7259 alpha=90.00 beta=90.00 gamma=90.00
Fractional positions:
Ho  0.0000  0.0000  0.0000
Pd  0.5000  0.2500  0.0000
Pd  0.0000  0.5000  0.2500
Pd  0.0000  0.5000  0.7500
Al  0.5000  0.0000  0.2500
Al  0.7500  0.5000  0.0000
Al  0.5000  0.0000  0.7500
Al  0.0000  0.2500  0.5000
Al  0.2500  0.5000  0.0000
Al  0.0000  0.7500  0.5000
Pd  0.2500  0.0000  0.5000
Pd  0.7500  0.0000  0.5000
Pd  0.5000  0.7500  0.0000
Ho  0.5000  0.5000  0.5000

Summary:
- ΔH_f (0 K): -0.3205 eV/atom
- Volume: 304 Å³/cell
- Crystal system: cubic
- Space-group type: Pm-3n
- Total moment: 0.00 Bohr magnetons per cell

=====

Q: total moment of number 2 (Ho2AlPd)?
A: 0.00 Bohr magnetons per cell